Crystalline BaSrAs at its relaxed geometry. Source: the Alexandria database, functional PBE-GGA.

Lattice parameters (Å, degrees): 4.0518 4.0518 14.8932 90.00 90.00 90.00
With the nearest neighbours (Å) after each atom.
Sites, in units of the cell vectors:
Ba 0.0000 0.0000 0.0000  1 Sr 3.37, 4 As 3.40
Ba 0.5000 0.5000 0.5000  1 Sr 3.37, 4 As 3.40
Sr 0.0000 0.0000 0.7740  4 As 3.25, 1 Ba 3.37
Sr 0.5000 0.5000 0.2740  4 As 3.25, 1 Ba 3.37
As 0.0000 0.0000 0.3771  4 Sr 3.25, 4 Ba 3.40
As 0.5000 0.5000 0.8771  4 Sr 3.25, 4 Ba 3.40

Computed properties:
Polymorph energy (0 for the lowest one) = 0.126 eV per atom
ΔE_f = -0.745 eV/atom
V = 244.5 Å³/cell
Density of states at the Fermi level = 1.41 states/eV/f.u.


Crystalline BaSrAs at its relaxed geometry. Source: the Alexandria database, functional PBE-GGA.

Lattice parameters (Å, degrees): 7.8358 4.6624 8.0825 90.00 91.70 90.00
With the nearest neighbours (Å) after each atom.
Sites, in units of the cell vectors:
Ba 0.2228 0.2500 0.0947  3 As 3.23-3.25
Ba 0.7772 0.7500 0.9053  3 As 3.23-3.25
Sr 0.2065 0.7500 0.5850  3 As 3.11-3.12
Sr 0.7935 0.2500 0.4150  3 As 3.11-3.12
As 0.0064 0.2500 0.7461  3 Sr 3.11-3.12, 3 Ba 3.23-3.25
As 0.9936 0.7500 0.2539  3 Sr 3.11-3.12, 3 Ba 3.23-3.25

Computed properties:
Polymorph energy (0 for the lowest one) = 0.000 eV per atom
ΔE_f = -0.871 eV/atom
V = 295.2 Å³/cell
Density of states at the Fermi level = 1.36 states/eV/f.u.


Crystalline BaSrTe2As at its relaxed geometry. Source: the Alexandria database, functional PBE-GGA.

Lattice parameters (Å, degrees): 6.3441 6.3441 7.3938 90.00 90.00 90.00
With the nearest neighbours (Å) after each atom.
Sites, in units of the cell vectors:
Ba 0.0000 0.0000 0.0000  4 Te 3.17
Sr 0.0000 0.0000 0.5000  2 Ba 3.70
Te 0.0000 0.5000 0.0000  2 Ba 3.17
Te 0.5000 0.0000 0.0000  2 Ba 3.17
As 0.5000 0.5000 0.5000  4 Sr 4.49, 8 Te 4.87

Computed properties:
Energy relative to the elements, uncorrected = 2.19 eV per formula unit
V = 297.6 Å³/cell
Density of states at the Fermi level = 8.30 states/eV/f.u.


Crystalline BaSr2TlAs at its relaxed geometry. Source: the Alexandria database, functional PBE-GGA.

Lattice parameters (Å, degrees): 5.9722 5.9722 6.3998 90.00 90.00 90.00
With the nearest neighbours (Å) after each atom.
Sites, in units of the cell vectors:
Ba 0.0000 0.0000 0.0000  2 As 3.20
Sr 0.0000 0.5000 0.5000  2 As 2.99
Sr 0.5000 0.0000 0.5000  2 As 2.99
Tl 0.5000 0.5000 0.0000  4 Ba 4.22, 8 Sr 4.38
As 0.0000 0.0000 0.5000  4 Sr 2.99, 2 Ba 3.20

Computed properties:
ΔE_f = -0.549 eV/atom
V = 228.3 Å³/cell
Density of states at the Fermi level = 5.58 states/eV/f.u.


Crystalline Ba2SrUAs4 at its relaxed geometry. Source: the Alexandria database, functional PBE-GGA.

Lattice parameters (Å, degrees): 7.6753 4.4670 7.8699 90.00 109.17 90.00
With the nearest neighbours (Å) after each atom.
Sites, in units of the cell vectors:
Ba 0.0000 0.0000 0.0000  6 As 3.49-3.59
Ba 0.5000 0.5000 0.0000  6 As 3.25-3.26
Sr 0.0000 0.5000 0.5000  6 As 3.14
U 0.5000 0.0000 0.5000  6 As 2.75-2.88
As 0.2752 0.0000 0.7092  1 U 2.75
As 0.2940 0.5000 0.3009  2 U 2.88, 1 Sr 3.14
As 0.7060 0.5000 0.6991  2 U 2.88, 1 Sr 3.14
As 0.7248 0.0000 0.2908  1 U 2.75

Computed properties:
ΔE_f = -0.965 eV/atom
V = 254.9 Å³/cell
Density of states at the Fermi level = 1.80 states/eV/f.u.


Crystalline BaSrZnAs2 at its relaxed geometry. Source: the Alexandria database, functional PBE-GGA.

Lattice parameters (Å, degrees): 8.8031 8.8031 5.4135 90.00 90.00 124.08
With the nearest neighbours (Å) after each atom.
Sites, in units of the cell vectors:
Ba 0.2500 0.7500 0.7546  4 As 3.30-3.38
Ba 0.7500 0.2500 0.2454  4 As 3.30-3.38
Sr 0.2500 0.2500 0.5000  4 As 3.14, 4 Zn 3.40
Sr 0.7500 0.7500 0.5000  4 As 3.14, 4 Zn 3.40
Zn 0.0000 0.0000 0.0000  2 As 2.34
Zn 0.5000 0.5000 0.0000  2 As 2.34
As 0.1238 0.8762 0.2453  1 Zn 2.34
As 0.3762 0.6238 0.2453  1 Zn 2.34
As 0.6238 0.3762 0.7547  1 Zn 2.34
As 0.8762 0.1238 0.7547  1 Zn 2.34

Computed properties:
Polymorph energy (0 for the lowest one) = 0.000 eV per atom
ΔE_f = -0.755 eV/atom
V = 347.5 Å³/cell


Q: The highest V belongs to which entry?
A: BaSrZnAs2


Q: V of number 3 (BaSrTe2As)?
A: 297.6 Å³/cell


Q: What is the formula in the second record?
A: BaSrAs


Q: Which value of V does entry 2 give?
A: 295.2 Å³/cell